Computed, not measured: an optimized crystal structure of RbMoAs2 at the GGA-PBE level of DFT.

As for the final energy: -64.9 eV per cell. The energy of formation comes out at -0.136 eV per atom.

The structure belongs to space group R-3m (No. 166, hexagonal axes); the cell edges are 3.4721, 3.4721 and 26.3971 Å and the angles 90.00°, 90.00° and 120.00°. Symmetry generates all atoms from Rb at (0.0000, 0.0000, 0.0000), Mo at (0.0000, 0.0000, 0.5000) and As at (0.0000, 0.0000, 0.2293).

---

Computed, not measured: an optimized crystal structure of KLaIr2 at the GGA-PBE level of DFT.

As for the final energy: -87.4 eV per cell. The energy of formation comes out at 0.474 eV per atom.

The structure belongs to space group I-42d (No. 122); the cell edges are 8.1576, 8.1576 and 5.6189 Å and the angles 90.00°, 90.00° and 90.00°. Symmetry generates all atoms from K at (0.0000, 0.0000, 0.0000), La at (0.0000, 0.0000, 0.5000) and Ir at (0.2327, 0.2500, 0.6250).

---

Computed, not measured: an optimized crystal structure of Cs3Pu2SnSe6 at the GGA-PBE level of DFT.

As for the final energy: -141.5 eV per cell. For the raw formation energy, the calculation gives -1.22 eV/atom.

The structure belongs to space group C2/m (No. 12); the cell edges are 7.5819, 13.1183 and 8.6399 Å and the angles 90.00°, 106.92° and 90.00°. Symmetry generates all atoms from Cs at (0.0000, 0.0000, 0.0000), Cs at (0.0000, 0.3403, 0.0000), Pu at (0.0000, 0.1672, 0.5000), Sn at (0.0000, 0.5000, 0.5000), Se at (0.2114, 0.0000, 0.6820) and Se at (0.2366, 0.3252, 0.6853).

---

Computed, not measured: an optimized crystal structure of Tl3FeN at the GGA-PBE level of DFT.

As for the final energy: -18.0 eV per cell. For the raw formation energy, the calculation gives 1.17 eV/atom.

The structure belongs to space group Pm-3m (No. 221); the cell edges are 5.1269, 5.1269 and 5.1269 Å and the angles 90.00°, 90.00° and 90.00°. Symmetry generates all atoms from Tl at (0.0000, 0.0000, 0.5000), Fe at (0.0000, 0.0000, 0.0000) and N at (0.5000, 0.5000, 0.5000).

---

Computed, not measured: an optimized crystal structure of La7Sm12Th at the GGA-PBE level of DFT.

As for the final energy: -173.5 eV per cell. The energy of formation comes out at 0.589 eV per atom.

The structure belongs to space group Im-3m (No. 229); the cell edges are 11.5985, 11.5985 and 11.5985 Å and the angles 90.00°, 90.00° and 90.00°. Symmetry generates all atoms from La at (0.0000, 0.0000, 0.5000), La at (0.2500, 0.2500, 0.2500), Sm at (0.0000, 0.2249, 0.2249) and Th at (0.0000, 0.0000, 0.0000).

---

Computed, not measured: an optimized crystal structure of Fe3BOs at the GGA-PBE level of DFT.

As for the final energy: -41.8 eV per cell. The energy of formation comes out at 0.292 eV per atom.

The structure belongs to space group Pm-3m (No. 221); the cell edges are 3.7921, 3.7921 and 3.7921 Å and the angles 90.00°, 90.00° and 90.00°. Symmetry generates all atoms from Fe at (0.0000, 0.0000, 0.5000), B at (0.0000, 0.0000, 0.0000) and Os at (0.5000, 0.5000, 0.5000).

---

Computed, not measured: an optimized crystal structure of Nd5Ag4Ru at the GGA-PBE level of DFT.

As for the final energy: -46.9 eV per cell. The energy of formation comes out at -0.240 eV per atom.

The structure belongs to space group P4/mmm (No. 123); the cell edges are 3.6315, 3.6315 and 19.2980 Å and the angles 90.00°, 90.00° and 90.00°. Symmetry generates all atoms from Nd at (0.0000, 0.0000, 0.0000), Nd at (0.0000, 0.0000, 0.2043), Nd at (0.0000, 0.0000, 0.4117), Ag at (0.5000, 0.5000, 0.1019), Ag at (0.5000, 0.5000, 0.3052) and Ru at (0.5000, 0.5000, 0.5000).

---

Computed, not measured: an optimized crystal structure of VBiRu at the GGA-PBE level of DFT.

As for the final energy: -90.2 eV per cell. The energy of formation comes out at -0.091 eV per atom.

The structure belongs to space group C2/m (No. 12); the cell edges are 4.3959, 4.4080 and 11.8535 Å and the angles 90.00°, 90.05° and 90.00°. Symmetry generates all atoms from V at (0.2498, 0.0000, 0.0636), Bi at (0.2486, 0.5000, 0.6521) and Ru at (0.2500, 0.0000, 0.8213).

---

Computed, not measured: an optimized crystal structure of PuAl2Ga4 at the GGA-PBE level of DFT.

As for the final energy: -33.1 eV per cell. The energy of formation comes out at 0.121 eV per atom.

The structure belongs to space group P-42m (No. 111); the cell edges are 3.9200, 3.9200 and 9.8630 Å and the angles 90.00°, 90.00° and 90.00°. Symmetry generates all atoms from Pu at (0.0000, 0.0000, 0.0000), Al at (0.0000, 0.5000, 0.5000) and Ga at (0.2568, 0.2568, 0.2639).

---

Computed, not measured: an optimized crystal structure of PtAu2 at the GGA-PBE level of DFT.

As for the final energy: -24.9 eV per cell. The energy of formation comes out at 0.048 eV per atom.

The structure belongs to space group I4/mmm (No. 139); the cell edges are 2.9461, 2.9461 and 11.9013 Å and the angles 90.00°, 90.00° and 90.00°. Symmetry generates all atoms from Pt at (0.0000, 0.0000, 0.0000) and Au at (0.0000, 0.0000, 0.3362).

---

Computed, not measured: an optimized crystal structure of CsNaMnCl6 at the GGA-PBE level of DFT.

As for the final energy: -68.9 eV per cell. For the raw formation energy, the calculation gives -1.33 eV/atom.

The structure belongs to space group C2 (No. 5); the cell edges are 6.8829, 11.9358 and 7.4116 Å and the angles 90.00°, 90.06° and 90.00°. Symmetry generates all atoms from Cs at (0.0000, 0.0000, 0.0000), Na at (0.0000, 0.3335, 0.5000), Mn at (0.0000, 0.6666, 0.5000), Cl at (0.1268, 0.5285, 0.3197), Cl at (0.1433, 0.7993, 0.3198) and Cl at (0.2285, 0.1721, 0.3203).

---

Computed, not measured: an optimized crystal structure of Li6PrTl2 at the GGA-PBE level of DFT.

As for the final energy: -42.7 eV per cell. The energy of formation comes out at -0.041 eV per atom.

The structure belongs to space group C2/m (No. 12); the cell edges are 11.5887, 11.3796 and 3.1221 Å and the angles 90.00°, 105.18° and 90.00°. Symmetry generates all atoms from Li at (0.0000, 0.1072, 0.0000), Li at (0.1467, 0.2795, 0.1493), Pr at (0.0000, 0.5000, 0.5000) and Tl at (0.2154, 0.0000, 0.7177).

---

Computed, not measured: an optimized crystal structure of BeC at the GGA-PBE level of DFT.

As for the final energy: -73.9 eV per cell. The energy of formation comes out at 0.319 eV per atom.

The structure belongs to space group R-3m (No. 166, hexagonal axes); the cell edges are 3.1166, 3.1166 and 11.2090 Å and the angles 90.00°, 90.00° and 120.00°. Symmetry generates all atoms from Be at (0.0000, 0.0000, 0.2157) and C at (0.0000, 0.0000, 0.0611).

---

Computed, not measured: an optimized crystal structure of NdDyHg at the GGA-PBE level of DFT.

As for the final energy: -10.2 eV per cell. The energy of formation comes out at -0.185 eV per atom.

The structure belongs to space group P3m1 (No. 156); the cell edges are 5.1729, 5.1729 and 3.8668 Å and the angles 90.00°, 90.00° and 120.00°. Symmetry generates all atoms from Nd at (0.0000, 0.0000, 0.0000), Dy at (0.3333, 0.6667, 0.5338) and Hg at (0.6667, 0.3333, 0.3903).

---

Computed, not measured: an optimized crystal structure of Sr2CuIN at the GGA-PBE level of DFT.

As for the final energy: -20.3 eV per cell. For the raw formation energy, the calculation gives -0.59 eV/atom.

The structure belongs to space group P4/mmm (No. 123); the cell edges are 5.5527, 5.5527 and 3.8589 Å and the angles 90.00°, 90.00° and 90.00°. Symmetry generates all atoms from Sr at (0.0000, 0.5000, 0.0000), Cu at (0.0000, 0.0000, 0.5000), I at (0.5000, 0.5000, 0.5000) and N at (0.0000, 0.0000, 0.0000).

---

Computed, not measured: an optimized crystal structure of LiPr5Pb5 at the GGA-PBE level of DFT.

As for the final energy: -95.2 eV per cell. The energy of formation comes out at -0.295 eV per atom.

The structure belongs to space group C2/m (No. 12); the cell edges are 18.2934, 5.8722 and 7.0640 Å and the angles 90.00°, 109.52° and 90.00°. Symmetry generates all atoms from Li at (0.0000, 0.0000, 0.0000), Pr at (0.0000, 0.0000, 0.5000), Pr at (0.1696, 0.5000, 0.7195), Pr at (0.1808, 0.5000, 0.2284), Pb at (0.0000, 0.5000, 0.0000), Pb at (0.1519, 0.0000, 0.9245) and Pb at (0.1558, 0.0000, 0.3974).

---

Computed, not measured: an optimized crystal structure of La2Cu3Ni12Pd at the GGA-PBE level of DFT.

As for the final energy: -276.9 eV per cell. The energy of formation comes out at 0.245 eV per atom.

The structure belongs to space group R-3m (No. 166, hexagonal axes); the cell edges are 6.0259, 6.0259 and 26.2401 Å and the angles 90.00°, 90.00° and 120.00°. Symmetry generates all atoms from La at (0.0000, 0.0000, 0.1410), Cu at (0.0000, 0.5000, 0.0000), Ni at (0.0436, 0.5218, 0.9018), Ni at (0.0792, 0.5396, 0.6224) and Pd at (0.0000, 0.0000, 0.5000).

---

Computed, not measured: an optimized crystal structure of WBrCl2 at the GGA-PBE level of DFT.

As for the final energy: -16.8 eV per cell. For the raw formation energy, the calculation gives 0.38 eV/atom.

The structure belongs to space group P4mm (No. 99); the cell edges are 3.0891, 3.0891 and 8.2679 Å and the angles 90.00°, 90.00° and 90.00°. Symmetry generates all atoms from W at (0.0000, 0.0000, 0.0000), Br at (0.5000, 0.5000, 0.1934), Cl at (0.0000, 0.0000, 0.4944) and Cl at (0.5000, 0.5000, 0.8187).

---

Computed, not measured: an optimized crystal structure of MoIrAu2 at the GGA-PBE level of DFT.

As for the final energy: -49.9 eV per cell. The energy of formation comes out at 0.327 eV per atom.

The structure belongs to space group I4/mmm (No. 139); the cell edges are 3.9382, 3.9382 and 8.4340 Å and the angles 90.00°, 90.00° and 90.00°. Symmetry generates all atoms from Mo at (0.0000, 0.0000, 0.0000), Ir at (0.0000, 0.0000, 0.5000) and Au at (0.0000, 0.5000, 0.2500).

---

Computed, not measured: an optimized crystal structure of Ca2BeSi at the GGA-PBE level of DFT.

As for the final energy: -52.5 eV per cell. For the raw formation energy, the calculation gives 0.00 eV/atom.

The structure belongs to space group Fm-3m (No. 225); the cell edges are 7.0682, 7.0682 and 7.0682 Å and the angles 90.00°, 90.00° and 90.00°. Symmetry generates all atoms from Ca at (0.2500, 0.2500, 0.2500), Be at (0.0000, 0.0000, 0.0000) and Si at (0.0000, 0.0000, 0.5000).

---

Computed, not measured: an optimized crystal structure of MgTaP2S at the GGA-PBE level of DFT.

As for the final energy: -22.9 eV per cell. For the raw formation energy, the calculation gives 1.09 eV/atom.

The structure belongs to space group P4/mmm (No. 123); the cell edges are 4.6280, 4.6280 and 4.5541 Å and the angles 90.00°, 90.00° and 90.00°. Symmetry generates all atoms from Mg at (0.0000, 0.0000, 0.0000), Ta at (0.5000, 0.5000, 0.5000), P at (0.0000, 0.5000, 0.0000) and S at (0.0000, 0.0000, 0.5000).

---

Computed, not measured: an optimized crystal structure of Ba2CuHg at the GGA-PBE level of DFT.

As for the final energy: -33.0 eV per cell. The energy of formation comes out at 0.000 eV per atom.

The structure belongs to space group I-42d (No. 122); the cell edges are 8.8631, 8.8631 and 8.2528 Å and the angles 90.00°, 90.00° and 90.00°. Symmetry generates all atoms from Ba at (0.2218, 0.2500, 0.1250), Cu at (0.0000, 0.0000, 0.0000) and Hg at (0.0000, 0.0000, 0.5000).

---

Computed, not measured: an optimized crystal structure of TaPSeN2 at the GGA-PBE level of DFT.

As for the final energy: -34.6 eV per cell. For the raw formation energy, the calculation gives 0.57 eV/atom.

The structure belongs to space group P4/mmm (No. 123); the cell edges are 3.9726, 3.9726 and 5.4476 Å and the angles 90.00°, 90.00° and 90.00°. Symmetry generates all atoms from Ta at (0.0000, 0.0000, 0.0000), P at (0.5000, 0.5000, 0.5000), Se at (0.0000, 0.0000, 0.5000) and N at (0.0000, 0.5000, 0.0000).

---

Computed, not measured: an optimized crystal structure of LiCa3O at the GGA-PBE level of DFT.

As for the final energy: -18.3 eV per cell. For the raw formation energy, the calculation gives -1.08 eV/atom.

The structure belongs to space group Pm-3m (No. 221); the cell edges are 4.9686, 4.9686 and 4.9686 Å and the angles 90.00°, 90.00° and 90.00°. Symmetry generates all atoms from Li at (0.0000, 0.0000, 0.0000), Ca at (0.0000, 0.5000, 0.5000) and O at (0.5000, 0.5000, 0.5000).